Record 1
# ZrBeTl PBE-GGA optimized geometry
# - E above lowest polymorph: 0.0 kJ/mol of atoms
# - E: -4.722 eV per atom
data_ZrBeTl
_cell_length_a 6.128
_cell_length_b 6.128
_cell_length_c 6.128
_cell_angle_alpha 90.00
_cell_angle_beta 90.00
_cell_angle_gamma 90.00
_symmetry_space_group_name_H-M 'F -4 3 m'
_symmetry_Int_Tables_number 216
_symmetry_space_group_name_Hall 'F -4 2 3'
loop_
_atom_site_label
_atom_site_fract_x
_atom_site_fract_y
_atom_site_fract_z
Zr1 0.000 0.000 0.000
Be1 0.250 0.250 0.750
Tl1 0.000 0.000 0.500

Record 2
# LiLuPO PBE-GGA optimized geometry
# - E above lowest polymorph: 31.3 kJ/mol of atoms
# - E: -5.698 eV per atom
data_LiLuPO
_cell_length_a 3.312
_cell_length_b 6.774
_cell_length_c 6.430
_cell_angle_alpha 90.00
_cell_angle_beta 90.00
_cell_angle_gamma 90.00
_symmetry_space_group_name_H-M 'P m c 21'
_symmetry_Int_Tables_number 26
_symmetry_space_group_name_Hall 'P 2c -2'
loop_
_atom_site_label
_atom_site_fract_x
_atom_site_fract_y
_atom_site_fract_z
Li1 0.000 0.217 0.000
Lu1 0.500 0.376 0.593
P1 0.000 0.135 0.386
O1 0.500 0.368 0.917

Record 3
# Nd2BiSe2F PBE-GGA optimized geometry
# - E: -5.359 eV per atom
data_Nd2BiSe2F
_cell_length_a 4.067
_cell_length_b 4.067
_cell_length_c 9.029
_cell_angle_alpha 90.00
_cell_angle_beta 90.00
_cell_angle_gamma 90.00
_symmetry_space_group_name_H-M 'P -4 m 2'
_symmetry_Int_Tables_number 115
_symmetry_space_group_name_Hall 'P -4 -2'
loop_
_atom_site_label
_atom_site_fract_x
_atom_site_fract_y
_atom_site_fract_z
Nd1 0.000 0.500 0.210
Bi1 0.000 0.000 0.500
Se1 0.000 0.500 0.871
F1 0.500 0.500 0.500

Record 4
# ThFeTc PBE-GGA optimized geometry
# - Energy of formation: 0.369 eV/atom
# - E: -8.325 eV per atom
data_ThFeTc
_cell_length_a 6.235
_cell_length_b 6.235
_cell_length_c 6.235
_cell_angle_alpha 90.00
_cell_angle_beta 90.00
_cell_angle_gamma 90.00
_symmetry_space_group_name_H-M 'F -4 3 m'
_symmetry_Int_Tables_number 216
_symmetry_space_group_name_Hall 'F -4 2 3'
loop_
_atom_site_label
_atom_site_fract_x
_atom_site_fract_y
_atom_site_fract_z
Th1 0.000 0.000 0.000
Fe1 0.250 0.250 0.750
Tc1 0.000 0.000 0.500

Record 5
# AgHgO3 PBE-GGA optimized geometry
# - E: -3.233 eV per atom
data_AgHgO3
_cell_length_a 3.985
_cell_length_b 3.985
_cell_length_c 4.210
_cell_angle_alpha 90.00
_cell_angle_beta 90.00
_cell_angle_gamma 90.00
_symmetry_space_group_name_H-M 'P 4 m m'
_symmetry_Int_Tables_number 99
_symmetry_space_group_name_Hall 'P 4 -2'
loop_
_atom_site_label
_atom_site_fract_x
_atom_site_fract_y
_atom_site_fract_z
Ag1 0.000 0.000 0.000
Hg1 0.500 0.500 0.427
O1 0.000 0.000 0.515
O2 0.000 0.500 0.096

Record 6
# La2ZnCuSi2 PBE-GGA optimized geometry
# - E: -4.905 eV per atom
data_La2ZnCuSi2
_cell_length_a 4.2273
_cell_length_b 4.2273
_cell_length_c 8.4998
_cell_angle_alpha 90.00
_cell_angle_beta 90.00
_cell_angle_gamma 120.00
_symmetry_space_group_name_H-M 'P -6 m 2'
_symmetry_Int_Tables_number 187
_symmetry_space_group_name_Hall 'P -6 2'
loop_
_atom_site_label
_atom_site_fract_x
_atom_site_fract_y
_atom_site_fract_z
La1 0.0000 0.0000 0.2396
Zn1 0.3333 0.6667 0.5000
Cu1 0.6667 0.3333 0.0000
Si1 0.3333 0.6667 0.0000
Si2 0.6667 0.3333 0.5000

Record 7
# ErTmTlFe2 PBE-GGA optimized geometry
# - E: -5.774 eV per atom
data_ErTmTlFe2
_cell_length_a 3.905
_cell_length_b 3.772
_cell_length_c 13.757
_cell_angle_alpha 90.00
_cell_angle_beta 90.00
_cell_angle_gamma 90.00
_symmetry_space_group_name_H-M 'A m m 2'
_symmetry_Int_Tables_number 38
_symmetry_space_group_name_Hall 'A 2 -2'
loop_
_atom_site_label
_atom_site_fract_x
_atom_site_fract_y
_atom_site_fract_z
Er1 0.000 0.000 0.000
Tm1 0.000 0.000 0.720
Tl1 0.500 0.000 0.360
Fe1 0.500 0.000 0.151
Fe2 0.500 0.000 0.570

Record 8
# PrAsAuO PBE-GGA optimized geometry
# - E: -5.605 eV per atom
data_PrAsAuO
_cell_length_a 3.956
_cell_length_b 7.789
_cell_length_c 6.204
_cell_angle_alpha 90.00
_cell_angle_beta 90.00
_cell_angle_gamma 90.00
_symmetry_space_group_name_H-M 'P m c 21'
_symmetry_Int_Tables_number 26
_symmetry_space_group_name_Hall 'P 2c -2'
loop_
_atom_site_label
_atom_site_fract_x
_atom_site_fract_y
_atom_site_fract_z
Pr1 0.000 0.240 0.000
As1 0.000 0.150 0.500
Au1 0.500 0.342 0.506
O1 0.500 0.370 0.004